VASP calculation (meta-GGA SCAN) on a PBEsol-optimized structure of La2MgAu.

Computed properties:
Density of states at the Fermi level (states/eV/f.u.): 3.252
Formation energy from the elements (eV per atom): -0.554
Total DFT energy (no corrections) (eV/atom): -40.64

Cell and atoms, written as CIF:
```
data_La2MgAu
_cell_length_a 3.776
_cell_length_b 5.187
_cell_length_c 10.958
_cell_angle_alpha 90.00
_cell_angle_beta 90.00
_cell_angle_gamma 90.00
_symmetry_space_group_name_H-M 'I m m 2'
_symmetry_Int_Tables_number 44
loop_
_symmetry_equiv_pos_as_xyz
'x,y,z'
'-x,-y,z'
'-x,y,z'
'x,-y,z'
'x+1/2,y+1/2,z+1/2'
'-x+1/2,-y+1/2,z+1/2'
'-x+1/2,y+1/2,z+1/2'
'x+1/2,-y+1/2,z+1/2'
loop_
_atom_site_label
_atom_site_fract_x
_atom_site_fract_y
_atom_site_fract_z
La1 0.000 0.000 0.000
La2 0.000 0.500 0.204
Mg1 0.000 0.000 0.417
Au1 0.000 0.500 0.736
```